Density functional theory data (PBE) for TiCuPt2 after structural relaxation.

Output
**DFT total energy**: -6.7737 eV/atom
**V**: 14.64 A^3/atom
**Calculated formation energy**: -0.755 eV per atom
**Calculated density**: 14.2 Mg/m³

Cell: 4.477 4.728 5.532 Å, 90.00 90.00 90.00°
Fractional positions:
Ti1 0.000 0.335 0.500
Ti2 0.500 0.665 0.000
Cu1 0.500 0.679 0.500
Cu2 0.000 0.321 0.000
Pt1 0.500 0.184 0.249
Pt2 0.500 0.184 0.751
Pt3 0.000 0.816 0.749
Pt4 0.000 0.816 0.251